[1]
VASP calculation (PBE) on crystalline TmZn2Ni8 at its relaxed geometry.

Values from the calculation:
* crystal system: tetragonal
* uncorrected energy: -4.539 eV/atom
* energy relative to the elements: 0.30 eV per atom
* size of the total moment: 2.860 Bohr magnetons per cell

abc: 5.8787 5.8787 4.7909
angles: 90.00 90.00 90.00
With the nearest neighbours (Å) after each atom.
Space group P4/mmm (No. 123)
One atom of each set of equivalent atoms:
Tm 0.0000 0.0000 0.0000 x1  8 Ni 2.76
Zn 0.0000 0.5000 0.5000 x2  8 Ni 2.45
Ni 0.3013 0.3013 0.2427 x8  4 Ni 2.33-2.47, 2 Zn 2.45

=====

[2]
VASP calculation (PBE) on crystalline Hf2MnTl at its relaxed geometry.

Values from the calculation:
* crystal system: tetragonal
* uncorrected energy: -6.628 eV/atom
* energy relative to the elements: 1.23 eV per atom
* E above lowest polymorph: 1291 meV/atom
* size of the total moment: 0.000 Bohr magnetons per cell

abc: 6.1242 6.1242 11.9814
angles: 90.00 90.00 90.00
With the nearest neighbours (Å) after each atom.
Space group I-42d (No. 122)
One atom of each set of equivalent atoms:
Hf 0.1222 0.2500 0.1250 x8  2 Mn 2.27
Mn 0.0000 0.0000 0.0000 x4  4 Hf 2.27
Tl 0.0000 0.0000 0.5000 x4  4 Hf 3.15

=====

[3]
VASP calculation (PBE) on crystalline Rb2AgPbCl6 at its relaxed geometry.

Values from the calculation:
* crystal system: monoclinic
* uncorrected energy: -3.224 eV/atom
* raw formation energy: -12.66 eV per formula unit
* E above lowest polymorph: 0 meV/atom
* size of the total moment: 0.000 Bohr magnetons per cell

abc: 7.5102 7.6383 13.0686
angles: 90.00 124.86 90.00
With the nearest neighbours (Å) after each atom.
Space group P2_1/c (No. 14)
One atom of each set of equivalent atoms:
Rb 0.2382 0.0438 0.2494 x4  8 Cl 3.42-3.70
Ag 0.0000 0.0000 0.5000 x2  6 Cl 2.66-2.68
Pb 0.5000 0.0000 0.0000 x2  6 Cl 2.77-2.78
Cl 0.1777 0.2194 0.9688 x4  1 Ag 2.68, 1 Pb 2.78
Cl 0.2514 0.7100 0.9703 x4  1 Ag 2.67, 1 Pb 2.78
Cl 0.3033 0.0092 0.7446 x4  1 Ag 2.66, 1 Pb 2.77

=====

[4]
VASP calculation (PBE) on crystalline CaAcNdDy at its relaxed geometry.

Values from the calculation:
* crystal system: tetragonal
* uncorrected energy: -3.809 eV/atom
* energy relative to the elements: 0.06 eV per atom
* E above lowest polymorph: 0 meV/atom
* size of the total moment: 0.000 Bohr magnetons per cell

abc: 3.7895 3.7895 10.6530
angles: 90.00 90.00 90.00
With the nearest neighbours (Å) after each atom.
Space group P4mm (No. 99)
One atom of each set of equivalent atoms:
Ca 0.0000 0.0000 0.0000 x1  4 Dy 3.76, 4 Ca 3.79, 4 Ac 4.02
Ac 0.5000 0.5000 0.7185 x1  4 Ac 3.79, 4 Nd 3.80, 4 Ca 4.02
Nd 0.0000 0.0000 0.4656 x1  4 Dy 3.54, 4 Nd 3.79, 4 Ac 3.80
Dy 0.5000 0.5000 0.2482 x1  4 Nd 3.54, 4 Ca 3.76, 4 Dy 3.79

=====

[5]
VASP calculation (PBE) on crystalline Ta2ReIr at its relaxed geometry.

Values from the calculation:
* crystal system: trigonal
* uncorrected energy: -11.206 eV/atom
* energy relative to the elements: 0.05 eV per atom
* size of the total moment: 0.000 Bohr magnetons per cell

abc: 2.8250 2.8250 28.7528
angles: 90.00 90.00 120.00
With the nearest neighbours (Å) after each atom.
Space group R3m (No. 160, hexagonal axes)
One atom of each set of equivalent atoms:
Ta 0.0000 0.0000 0.0000 x3  9 Ta 2.83-3.09, 3 Ir 2.85
Ta 0.0000 0.0000 0.2420 x3  9 Ta 2.83-3.09, 3 Re 2.95
Re 0.0000 0.0000 0.4899 x3  3 Ir 2.71, 6 Re 2.83, 3 Ta 2.95
Ir 0.0000 0.0000 0.7478 x3  3 Re 2.71, 6 Ir 2.83, 3 Ta 2.85

=====

[6]
VASP calculation (PBE) on crystalline Sr3ErTe4 at its relaxed geometry.

Values from the calculation:
* crystal system: monoclinic
* uncorrected energy: -4.355 eV/atom
* raw formation energy: -12.67 eV per formula unit
* size of the total moment: 0.000 Bohr magnetons per cell

abc: 8.0326 9.2505 7.9700
angles: 90.00 109.57 90.00
With the nearest neighbours (Å) after each atom.
Space group P2/c (No. 13)
One atom of each set of equivalent atoms:
Sr 0.0000 0.1241 0.2500 x2  6 Te 3.26-3.40
Sr 0.0000 0.3755 0.7500 x2  6 Te 3.26-3.41
Sr 0.5000 0.3749 0.2500 x2  6 Te 3.27-3.28
Er 0.5000 0.1222 0.7500 x2  6 Te 3.14
Te 0.2592 0.3634 0.5110 x4  1 Er 3.14, 5 Sr 3.26-3.41
Te 0.2682 0.1162 0.9986 x4  2 Er 3.14, 4 Sr 3.26-3.40

=====

[7]
VASP calculation (PBE) on crystalline LiSmHoSb at its relaxed geometry.

Values from the calculation:
* crystal system: cubic
* uncorrected energy: -4.284 eV/atom
* raw formation energy: -1.80 eV per formula unit
* size of the total moment: 0.000 Bohr magnetons per cell

abc: 7.4089 7.4089 7.4089
angles: 90.00 90.00 90.00
With the nearest neighbours (Å) after each atom.
Space group F-43m (No. 216)
One atom of each set of equivalent atoms:
Li 0.0000 0.0000 0.0000 x4  4 Sm 3.21, 4 Ho 3.21
Sm 0.2500 0.2500 0.2500 x4  4 Sb 3.21, 4 Li 3.21
Ho 0.2500 0.2500 0.7500 x4  4 Li 3.21, 4 Sb 3.21
Sb 0.0000 0.0000 0.5000 x4  4 Ho 3.21, 4 Sm 3.21

=====

[8]
VASP calculation (PBE) on crystalline MgNiBRu2 at its relaxed geometry.

Values from the calculation:
* crystal system: tetragonal
* uncorrected energy: -6.570 eV/atom
* energy relative to the elements: -0.05 eV per atom
* size of the total moment: 0.002 Bohr magnetons per cell

abc: 4.1111 4.1111 3.8709
angles: 90.00 90.00 90.00
With the nearest neighbours (Å) after each atom.
Space group P4/mmm (No. 123)
One atom of each set of equivalent atoms:
Mg 0.0000 0.0000 0.0000 x1  8 Ru 2.82, 4 Ni 2.91
Ni 0.5000 0.5000 0.0000 x1  2 B 1.94
B 0.5000 0.5000 0.5000 x1  2 Ni 1.94, 4 Ru 2.06
Ru 0.0000 0.5000 0.5000 x2  2 B 2.06

=====

[9]
VASP calculation (PBE) on crystalline KLiCo at its relaxed geometry.

Values from the calculation:
* crystal system: trigonal
* uncorrected energy: -2.498 eV/atom
* energy relative to the elements: 0.87 eV per atom
* E above lowest polymorph: 502 meV/atom
* size of the total moment: 1.322 Bohr magnetons per cell

abc: 3.0435 3.0435 8.0184
angles: 90.00 90.00 120.00
With the nearest neighbours (Å) after each atom.
Space group P3m1 (No. 156)
One atom of each set of equivalent atoms:
K 0.0000 0.0000 0.0000 x1  6 K 3.04, 3 Co 3.18
Li 0.6667 0.3333 0.4278 x1  3 Co 2.62
Co 0.3333 0.6667 0.6699 x1  3 Li 2.62

=====

[10]
VASP calculation (PBE) on crystalline CuMoBr2 at its relaxed geometry.

Values from the calculation:
* crystal system: orthorhombic
* uncorrected energy: -4.385 eV/atom
* raw formation energy: 0.73 eV per formula unit
* E above lowest polymorph: 0 meV/atom
* size of the total moment: 2.763 Bohr magnetons per cell

abc: 3.1652 4.3211 15.4569
angles: 90.00 90.00 90.00
With the nearest neighbours (Å) after each atom.
Space group Immm (No. 71)
One atom of each set of equivalent atoms:
Cu 0.0000 0.0000 0.0000 x2  4 Mo 2.68
Mo 0.0000 0.0000 0.5000 x2  4 Br 2.62, 4 Cu 2.68
Br 0.0000 0.5000 0.1350 x4  2 Mo 2.62

=====

[11]
VASP calculation (PBE) on crystalline Ba2LaBr at its relaxed geometry.

Values from the calculation:
* crystal system: orthorhombic
* uncorrected energy: -3.149 eV/atom
* raw formation energy: -2.15 eV per formula unit
* E above lowest polymorph: 109 meV/atom
* size of the total moment: 0.001 Bohr magnetons per cell

abc: 4.3729 6.9135 11.8707
angles: 90.00 90.00 90.00
With the nearest neighbours (Å) after each atom.
Space group Cmm2 (No. 35)
One atom of each set of equivalent atoms:
Ba 0.0000 0.0000 0.0000 x2  2 La 3.86, 4 Ba 4.09
Ba 0.0000 0.5000 0.3143 x2  2 Br 3.42
La 0.0000 0.5000 0.7319 x2  2 Br 3.19
Br 0.0000 0.0000 0.5358 x2  2 La 3.19, 2 Ba 3.42

=====

[12]
VASP calculation (PBE) on crystalline Ca2NdHg at its relaxed geometry.

Values from the calculation:
* crystal system: tetragonal
* uncorrected energy: -2.478 eV/atom
* energy relative to the elements: -0.21 eV per atom
* E above lowest polymorph: 0 meV/atom
* size of the total moment: 0.000 Bohr magnetons per cell

abc: 3.6750 3.6750 9.7186
angles: 90.00 90.00 90.00
With the nearest neighbours (Å) after each atom.
Space group P4/mmm (No. 123)
One atom of each set of equivalent atoms:
Ca 0.0000 0.0000 0.2030 x2  4 Hg 3.26
Nd 0.5000 0.5000 0.5000 x1  4 Nd 3.68, 8 Ca 3.88
Hg 0.5000 0.5000 0.0000 x1  8 Ca 3.26